Entry 1:
# ZnInPt2I PBE-GGA optimized geometry
data_ZnInPt2I
_chemical_formula_sum 'Zn1 In1 Pt2 I1'
_cell_length_a 5.0276
_cell_length_b 5.0276
_cell_length_c 6.0592
_cell_angle_alpha 90.00
_cell_angle_beta 90.00
_cell_angle_gamma 90.00
_symmetry_space_group_name_H-M 'P 4/m m m'
_symmetry_Int_Tables_number 123
_symmetry_space_group_name_Hall '-P 4 2'
loop_
_atom_site_label
_atom_site_type_symbol
_atom_site_fract_x
_atom_site_fract_y
_atom_site_fract_z
Zn1 Zn 0.0000 0.0000 0.0000
In1 In 0.5000 0.5000 0.5000
Pt1 Pt 0.0000 0.5000 0.5000
I1 I 0.5000 0.5000 0.0000
# Volume   30.63 A^3/atom
# N(E_F)   5.41 states/eV per cell
# Formation energy without anion corrections   0.921 eV/atom

---

Entry 2:
# Zr2InPtI PBE-GGA optimized geometry
data_Zr2InPtI
_chemical_formula_sum 'Zr2 In1 Pt1 I1'
_cell_length_a 5.5663
_cell_length_b 5.5663
_cell_length_c 5.5748
_cell_angle_alpha 90.00
_cell_angle_beta 90.00
_cell_angle_gamma 90.00
_symmetry_space_group_name_H-M 'P 4/m m m'
_symmetry_Int_Tables_number 123
_symmetry_space_group_name_Hall '-P 4 2'
loop_
_atom_site_label
_atom_site_type_symbol
_atom_site_fract_x
_atom_site_fract_y
_atom_site_fract_z
Zr1 Zr 0.0000 0.5000 0.0000
In1 In 0.0000 0.0000 0.0000
Pt1 Pt 0.5000 0.5000 0.5000
I1 I 0.0000 0.0000 0.5000
# Volume   34.55 A^3/atom
# N(E_F)   5.98 states/eV per cell
# Formation energy without anion corrections   1.428 eV/atom

---

Entry 3:
# Pu2In5I12 PBE-GGA optimized geometry
data_Pu2In5I12
_chemical_formula_sum 'Pu4 In10 I24'
_cell_length_a 19.6185
_cell_length_b 9.1254
_cell_length_c 10.7118
_cell_angle_alpha 90.00
_cell_angle_beta 112.89
_cell_angle_gamma 90.00
_symmetry_space_group_name_H-M 'C 1 2/m 1'
_symmetry_Int_Tables_number 12
loop_
_symmetry_equiv_pos_as_xyz
'x,y,z'
'-x,-y,-z'
'-x,y,-z'
'x,-y,z'
'x+1/2,y+1/2,z'
'-x+1/2,-y+1/2,-z'
'-x+1/2,y+1/2,-z'
'x+1/2,-y+1/2,z'
loop_
_atom_site_label
_atom_site_type_symbol
_atom_site_fract_x
_atom_site_fract_y
_atom_site_fract_z
Pu1 Pu 0.0000 0.2457 0.0000
In1 In 0.0000 0.5000 0.5000
In2 In 0.1747 0.0000 0.8426
In3 In 0.2380 0.0000 0.3539
I1 I 0.0144 0.0000 0.2140
I2 I 0.0173 0.5000 0.2101
I3 I 0.1168 0.2721 0.5922
I4 I 0.1704 0.2423 0.0890
# Volume   46.49 A^3/atom
# N(E_F)   62.59 states/eV per cell
# Formation energy without anion corrections   -0.681 eV/atom

---

Entry 4:
# PuIn2I4 PBE-GGA optimized geometry
data_PuIn2I4
_chemical_formula_sum 'Pu2 In4 I8'
_cell_length_a 6.2794
_cell_length_b 6.2794
_cell_length_c 16.8355
_cell_angle_alpha 90.00
_cell_angle_beta 90.00
_cell_angle_gamma 90.00
_symmetry_space_group_name_H-M 'I 4/m m m'
_symmetry_Int_Tables_number 139
_symmetry_space_group_name_Hall '-I 4 2'
loop_
_atom_site_label
_atom_site_type_symbol
_atom_site_fract_x
_atom_site_fract_y
_atom_site_fract_z
Pu1 Pu 0.0000 0.0000 0.0000
In1 In 0.0000 0.0000 0.3752
I1 I 0.0000 0.0000 0.1857
I2 I 0.0000 0.5000 0.0000
# Volume   47.42 A^3/atom
# N(E_F)   38.38 states/eV per cell
# Formation energy without anion corrections   -0.603 eV/atom
# Energy above the most stable polymorph in this dataset   0.068 eV per atom

---

Entry 5:
# PuIn3I6 PBE-GGA optimized geometry
data_PuIn3I6
_chemical_formula_sum 'Pu4 In12 I24'
_cell_length_a 10.1170
_cell_length_b 12.4827
_cell_length_c 16.0687
_cell_angle_alpha 90.00
_cell_angle_beta 90.00
_cell_angle_gamma 90.00
_symmetry_space_group_name_H-M 'F m m m'
_symmetry_Int_Tables_number 69
_symmetry_space_group_name_Hall '-F 2 2'
loop_
_atom_site_label
_atom_site_type_symbol
_atom_site_fract_x
_atom_site_fract_y
_atom_site_fract_z
Pu1 Pu 0.0000 0.0000 0.0000
In1 In 0.0000 0.0000 0.5000
In2 In 0.2500 0.2500 0.2500
I1 I 0.0000 0.2421 0.0000
I2 I 0.2261 0.0000 0.1325
# Volume   50.73 A^3/atom
# N(E_F)   50.44 states/eV per cell
# Formation energy without anion corrections   -0.598 eV/atom

---

Entry 6:
# PuIn2I5 PBE-GGA optimized geometry
data_PuIn2I5
_chemical_formula_sum 'Pu4 In8 I20'
_cell_length_a 6.2398
_cell_length_b 14.5478
_cell_length_c 16.9221
_cell_angle_alpha 90.00
_cell_angle_beta 90.00
_cell_angle_gamma 90.00
_symmetry_space_group_name_H-M 'F m m m'
_symmetry_Int_Tables_number 69
_symmetry_space_group_name_Hall '-F 2 2'
loop_
_atom_site_label
_atom_site_type_symbol
_atom_site_fract_x
_atom_site_fract_y
_atom_site_fract_z
Pu1 Pu 0.0000 0.0000 0.0000
In1 In 0.0000 0.0000 0.2979
I1 I 0.0000 0.0000 0.5000
I2 I 0.0000 0.1395 0.1371
# Volume   48.00 A^3/atom
# N(E_F)   49.39 states/eV per cell
# Formation energy without anion corrections   -0.698 eV/atom

---

| no. | magnetic moment (Bohr magnetons per cell) |
| --- | --- |
| 1 | 0.00 |
| 2 | 0.00 |
| 3 | 21.85 |
| 4 | 12.01 |
| 5 | 20.00 |
| 6 | 20.00 |